A plane-wave DFT calculation with PBE was carried out for a relaxed structure of KMgAl.

a b c (Å): 6.936 6.936 6.936
angles (deg): 154.01 141.03 47.44
Fractional coordinates of all 3 atoms:
Al (0.046, 0.046, 0.000)
Mg (0.616, 0.616, 0.000)
K (0.338, 0.338, 0.000)

Values from the calculation:
Relative energy among the computed polymorphs = 104 meV/atom
Total magnetic moment = 0.0 μB/f.u.
ρ = 1.64 Mg/m³
Total energy = -0.142 Ry/atom
Formation energy = 0.212 eV per atom